A plane-wave DFT calculation with GGA-PBE was carried out for an optimized crystal structure of LiZnCo2.

Output
The value obtained for the total magnetic moment is 2.99 μB/f.u. As for the energy relative to the elements: 0.14 eV/atom.

Cell lengths 2.881, 4.023, 8.429 Å; angles 90.00, 90.00, 90.00 degrees
Space group Cmmm (No. 65)
Unique sites:
Li: 0.000 0.000 0.000 (multiplicity 2)
Zn: 0.000 0.000 0.500 (multiplicity 2)
Co: 0.000 0.500 0.253 (multiplicity 4)

A plane-wave DFT calculation with GGA-PBE was carried out for an optimized crystal structure of RuSeBr2.

Output
For the uncorrected formation energy, the calculation gives 2.1 eV per formula unit. As for the energy above the most stable polymorph in this dataset: 0.726 eV/atom. The value obtained for the total magnetic moment is 0.00 μB/f.u.

Cell lengths 2.9856, 2.9856, 37.3555 Å; angles 90.00, 90.00, 120.00 degrees
Space group R-3m (No. 166, hexagonal axes)
Unique sites:
Ru: 0.0000 0.0000 0.0000 (multiplicity 3)
Se: 0.0000 0.0000 0.5000 (multiplicity 3)
Br: 0.0000 0.0000 0.0635 (multiplicity 6)

A plane-wave DFT calculation with GGA-PBE was carried out for an optimized crystal structure of YF3.

Output
For the uncorrected formation energy, the calculation gives -16.4 eV per formula unit. The value obtained for the total magnetic moment is 0.00 μB/f.u.

Cell lengths 6.2057, 6.2057, 7.6283 Å; angles 90.00, 90.00, 120.00 degrees
Space group R-3m (No. 166, hexagonal axes)
Unique sites:
Y: 0.0000 0.0000 0.0000 (multiplicity 3)
F: 0.0000 0.5000 0.5000 (multiplicity 9)

A plane-wave DFT calculation with GGA-PBE was carried out for an optimized crystal structure of CdCoSn2Br.

Output
For the uncorrected formation energy, the calculation gives -0.8 eV per formula unit. The value obtained for the total magnetic moment is 0.00 μB/f.u.

Cell lengths 4.873, 4.873, 5.212 Å; angles 90.00, 90.00, 90.00 degrees
Space group P4/mmm (No. 123)
Unique sites:
Cd: 0.000 0.000 0.000 (multiplicity 1)
Co: 0.000 0.000 0.500 (multiplicity 1)
Sn: 0.000 0.500 0.500 (multiplicity 2)
Br: 0.500 0.500 0.000 (multiplicity 1)

A plane-wave DFT calculation with GGA-PBE was carried out for an optimized crystal structure of Si2Pd13.

Output
For the uncorrected formation energy, the calculation gives -4.4 eV per formula unit. The value obtained for the total magnetic moment is 0.00 μB/f.u.

Cell lengths 5.053, 6.529, 7.518 Å; angles 69.24, 79.20, 80.93 degrees
Space group P-1 (No. 2)
Unique sites:
Si: 0.171 0.285 0.435 (multiplicity 2)
Pd: 0.000 0.500 0.000 (multiplicity 1)
Pd: 0.047 0.926 0.698 (multiplicity 2)
Pd: 0.228 0.677 0.221 (multiplicity 2)
Pd: 0.249 0.097 0.947 (multiplicity 2)
Pd: 0.254 0.503 0.635 (multiplicity 2)
Pd: 0.456 0.882 0.397 (multiplicity 2)
Pd: 0.485 0.300 0.147 (multiplicity 2)

A plane-wave DFT calculation with GGA-PBE was carried out for an optimized crystal structure of K2NaF4.

Output
For the uncorrected formation energy, the calculation gives -16.2 eV per formula unit. As for the energy above the most stable polymorph in this dataset: 0.000 eV/atom. The value obtained for the total magnetic moment is 1.00 μB/f.u.

Cell lengths 6.377, 12.825, 6.378 Å; angles 90.00, 90.00, 90.00 degrees
Space group Pbca (No. 61)
Unique sites:
K: 0.001 0.136 0.019 (multiplicity 8)
Na: 0.000 0.000 0.500 (multiplicity 4)
F: 0.087 0.670 0.075 (multiplicity 8)
F: 0.248 0.011 0.749 (multiplicity 8)